1.
DFT (PBE) results for TiCr2PtN after structural relaxation.

Geometry as POSCAR:
```
TiCr2PtN
1.0
3.8583 0.0000 0.0000
0.0000 3.8583 0.0000
0.0000 0.0000 4.0971
Ti Cr Pt N
1 2 1 1
Direct
0.0000 0.0000 0.0000 Ti
0.0000 0.5000 0.5000 Cr
0.5000 0.0000 0.5000 Cr
0.5000 0.5000 0.0000 Pt
0.0000 0.0000 0.5000 N
```

Space group = P4/mmm, No. 123
Raw total energy = -8.98 eV/atom
Formation energy from raw total energies = -3.4 eV/f.u.

2.
DFT (PBE) results for V2CrPtN after structural relaxation.

Geometry as POSCAR:
```
V2CrPtN
1.0
3.9367 0.0000 0.0000
0.0000 3.9367 0.0000
0.0000 0.0000 3.8770
V Cr Pt N
2 1 1 1
Direct
0.0000 0.5000 0.0000 V
0.5000 0.0000 0.0000 V
0.0000 0.0000 0.5000 Cr
0.5000 0.5000 0.5000 Pt
0.0000 0.0000 0.0000 N
```

Space group = P4/mmm, No. 123
Raw total energy = -9.11 eV/atom
Energy above the lowest structure with this stoichiometry = 0 meV per atom
Formation energy from raw total energies = -3.3 eV/f.u.